No. 1
# Li2InBr3 PBE-GGA optimized geometry
# crystal system	tetragonal
# size of the total moment	0.000	μB per atom
# V	167.7	Å³/cell
# formation energy without anion corrections	-1.2184	eV per atom
data_Li2InBr3
_chemical_formula_sum 'Li2 In1 Br3'
_symmetry_space_group_name_H-M 'P -4 m 2'
_symmetry_Int_Tables_number 115
_symmetry_space_group_name_Hall 'P -4 -2'
_cell_length_a 4.0672
_cell_length_b 4.0672
_cell_length_c 10.1349
_cell_angle_alpha 90.00
_cell_angle_beta 90.00
_cell_angle_gamma 90.00
loop_
_atom_site_label
_atom_site_type_symbol
_atom_site_fract_x
_atom_site_fract_y
_atom_site_fract_z
_atom_site_occupancy
Li1 Li 0.0000 0.5000 0.1497 1
In1 In 0.0000 0.0000 0.5000 1
Br1 Br 0.0000 0.0000 0.0000 1
Br2 Br 0.5000 0.5000 0.3054 1

=====

No. 2
# K2Rb2H PBE-GGA optimized geometry
# uncorrected energy	-1.37	eV per atom
# crystal system	tetragonal
# size of the total moment	0.000	μB per atom
# V	606.2	Å³/cell
data_K2Rb2H
_chemical_formula_sum 'K4 Rb4 H2'
_symmetry_space_group_name_H-M 'P 4/m b m'
_symmetry_Int_Tables_number 127
_symmetry_space_group_name_Hall '-P 4 2ab'
_cell_length_a 8.3340
_cell_length_b 8.3340
_cell_length_c 8.7280
_cell_angle_alpha 90.00
_cell_angle_beta 90.00
_cell_angle_gamma 90.00
loop_
_atom_site_label
_atom_site_type_symbol
_atom_site_fract_x
_atom_site_fract_y
_atom_site_fract_z
_atom_site_occupancy
K1 K 0.2194 0.2806 0.0000 1
Rb1 Rb 0.1837 0.6837 0.5000 1
H1 H 0.0000 0.0000 0.0000 1

=====

No. 3
# YSiIr PBE-GGA optimized geometry
# crystal system	hexagonal
# size of the total moment	0.000	μB per atom
# V	59.6	Å³/cell
# formation energy without anion corrections	-0.9345	eV per atom
data_YSiIr
_chemical_formula_sum 'Y1 Si1 Ir1'
_symmetry_space_group_name_H-M 'P -6 m 2'
_symmetry_Int_Tables_number 187
_symmetry_space_group_name_Hall 'P -6 2'
_cell_length_a 4.1220
_cell_length_b 4.1220
_cell_length_c 4.0495
_cell_angle_alpha 90.00
_cell_angle_beta 90.00
_cell_angle_gamma 120.00
loop_
_atom_site_label
_atom_site_type_symbol
_atom_site_fract_x
_atom_site_fract_y
_atom_site_fract_z
_atom_site_occupancy
Y1 Y 0.0000 0.0000 0.0000 1
Si1 Si 0.3333 0.6667 0.5000 1
Ir1 Ir 0.6667 0.3333 0.5000 1

=====

No. 4
# Pa2OsSe PBE-GGA optimized geometry
# crystal system	tetragonal
# size of the total moment	0.001	μB per atom
# V	83.3	Å³/cell
# formation energy without anion corrections	-0.6733	eV per atom
data_Pa2OsSe
_chemical_formula_sum 'Pa2 Os1 Se1'
_symmetry_space_group_name_H-M 'P 4/m m m'
_symmetry_Int_Tables_number 123
_symmetry_space_group_name_Hall '-P 4 2'
_cell_length_a 3.2678
_cell_length_b 3.2678
_cell_length_c 7.7977
_cell_angle_alpha 90.00
_cell_angle_beta 90.00
_cell_angle_gamma 90.00
loop_
_atom_site_label
_atom_site_type_symbol
_atom_site_fract_x
_atom_site_fract_y
_atom_site_fract_z
_atom_site_occupancy
Pa1 Pa 0.0000 0.0000 0.2425 1
Os1 Os 0.5000 0.5000 0.0000 1
Se1 Se 0.5000 0.5000 0.5000 1

=====

No. 5
# Nd4SmCo2 PBE-GGA optimized geometry
# crystal system	monoclinic
# size of the total moment	0.000	μB per atom
# ΔE_f	-5	meV/atom
# V	392.3	Å³/cell
data_Nd4SmCo2
_chemical_formula_sum 'Nd8 Sm2 Co4'
_symmetry_space_group_name_H-M 'P 1 21/m 1'
_symmetry_Int_Tables_number 11
_symmetry_space_group_name_Hall '-P 2yb'
_cell_length_a 7.0317
_cell_length_b 6.7401
_cell_length_c 8.9924
_cell_angle_alpha 90.00
_cell_angle_beta 113.00
_cell_angle_gamma 90.00
loop_
_atom_site_label
_atom_site_type_symbol
_atom_site_fract_x
_atom_site_fract_y
_atom_site_fract_z
_atom_site_occupancy
Nd1 Nd 0.0240 0.2500 0.2928 1
Nd2 Nd 0.2832 0.0000 0.0654 1
Nd3 Nd 0.3308 0.7500 0.4996 1
Sm1 Sm 0.2311 0.2500 0.7091 1
Co1 Co 0.0372 0.7500 0.1638 1
Co2 Co 0.3732 0.7500 0.8349 1

=====

No. 6
# BaLi3La PBE-GGA optimized geometry
# crystal system	cubic
# size of the total moment	0.404	μB per atom
# ΔE_f	645	meV/atom
# V	203.3	Å³/cell
data_BaLi3La
_chemical_formula_sum 'Ba1 Li3 La1'
_symmetry_space_group_name_H-M 'P m -3 m'
_symmetry_Int_Tables_number 221
_symmetry_space_group_name_Hall '-P 4 2 3'
_cell_length_a 5.8800
_cell_length_b 5.8800
_cell_length_c 5.8800
_cell_angle_alpha 90.00
_cell_angle_beta 90.00
_cell_angle_gamma 90.00
loop_
_atom_site_label
_atom_site_type_symbol
_atom_site_fract_x
_atom_site_fract_y
_atom_site_fract_z
_atom_site_occupancy
Ba1 Ba 0.0000 0.0000 0.0000 1
Li1 Li 0.0000 0.5000 0.5000 1
La1 La 0.5000 0.5000 0.5000 1

=====

No. 7
# AcTmScAl PBE-GGA optimized geometry
# crystal system	cubic
# size of the total moment	0.252	μB per atom
# ΔE_f	-16	meV/atom
# V	450.0	Å³/cell
data_AcTmScAl
_chemical_formula_sum 'Ac4 Tm4 Sc4 Al4'
_symmetry_space_group_name_H-M 'F -4 3 m'
_symmetry_Int_Tables_number 216
_symmetry_space_group_name_Hall 'F -4 2 3'
_cell_length_a 7.6631
_cell_length_b 7.6631
_cell_length_c 7.6631
_cell_angle_alpha 90.00
_cell_angle_beta 90.00
_cell_angle_gamma 90.00
loop_
_atom_site_label
_atom_site_type_symbol
_atom_site_fract_x
_atom_site_fract_y
_atom_site_fract_z
_atom_site_occupancy
Ac1 Ac 0.0000 0.0000 0.0000 1
Tm1 Tm 0.0000 0.0000 0.5000 1
Sc1 Sc 0.2500 0.2500 0.7500 1
Al1 Al 0.2500 0.2500 0.2500 1

=====

No. 8
# Sm2CuGeS5 PBE-GGA optimized geometry
# crystal system	orthorhombic
# size of the total moment	0.000	μB per atom
# V	754.9	Å³/cell
# formation energy without anion corrections	-1.2021	eV per atom
data_Sm2CuGeS5
_chemical_formula_sum 'Sm8 Cu4 Ge4 S20'
_symmetry_space_group_name_H-M 'C m c 21'
_symmetry_Int_Tables_number 36
_symmetry_space_group_name_Hall 'C 2c -2'
_cell_length_a 3.9689
_cell_length_b 17.1696
_cell_length_c 11.0773
_cell_angle_alpha 90.00
_cell_angle_beta 90.00
_cell_angle_gamma 90.00
loop_
_atom_site_label
_atom_site_type_symbol
_atom_site_fract_x
_atom_site_fract_y
_atom_site_fract_z
_atom_site_occupancy
Sm1 Sm 0.0000 0.1112 0.0000 1
Sm2 Sm 0.0000 0.1206 0.6210 1
Cu1 Cu 0.0000 0.2517 0.4281 1
Ge1 Ge 0.0000 0.4084 0.7951 1
S1 S 0.0000 0.0395 0.3868 1
S2 S 0.0000 0.3068 0.6425 1
S3 S 0.0000 0.3072 0.9656 1
S4 S 0.0000 0.3603 0.3139 1
S5 S 0.0000 0.4936 0.6109 1